CaSnAu2: relaxed, GGA-PBE.

Summary:
Total magnetization: 0.00 μB/atom
Fermi-level density of states: 0.503 states/eV per atom
Formation enthalpy at 0 K: -0.504 eV/atom
VASP energy: -3.64 eV per atom

```
CaSnAu2
1.0
3.697 0.000 0.000
0.000 3.697 0.000
0.000 0.000 6.650
Ca Sn Au
1 1 2
Direct
0.000 0.000 0.000
0.000 0.000 0.500
0.500 0.500 0.254
0.500 0.500 0.746
```


Tc2AgMoCl: relaxed, GGA-PBE.

Summary:
Total magnetization: 1.43 μB/atom
Fermi-level density of states: 1.731 states/eV per atom
VASP energy: -4.76 eV per atom
Energy relative to the elements, uncorrected: 2.493 eV per atom

```
Tc2AgMoCl
1.0
5.131 0.000 0.000
0.000 5.131 0.000
0.000 0.000 4.932
Tc Ag Mo Cl
2 1 1 1
Direct
0.000 0.500 0.000
0.500 0.000 0.000
0.000 0.000 0.000
0.000 0.000 0.500
0.500 0.500 0.500
```


Sm6GaOs2Cl3: relaxed, GGA-PBE.

Summary:
Total magnetization: 0.00 μB/atom
Fermi-level density of states: 0.477 states/eV per atom
VASP energy: -5.81 eV per atom
Energy relative to the elements, uncorrected: -0.869 eV per atom

```
Sm6GaOs2Cl3
1.0
3.464 -6.141 0.000
3.464 6.141 0.000
-2.202 0.000 7.632
Sm Ga Os Cl
6 1 2 3
Direct
0.046 0.417 0.197
0.268 0.268 0.757
0.417 0.046 0.197
0.583 0.954 0.803
0.732 0.732 0.243
0.954 0.583 0.803
0.000 0.000 0.000
0.354 0.646 0.000
0.646 0.354 0.000
0.172 0.828 0.500
0.500 0.500 0.500
0.828 0.172 0.500
```


NaLi2PbSe: relaxed, GGA-PBE.

Summary:
Total magnetization: 0.00 μB/atom
Fermi-level density of states: 0.592 states/eV per atom
VASP energy: -2.92 eV per atom
Energy relative to the elements, uncorrected: -0.455 eV per atom

```
NaLi2PbSe
1.0
4.851 0.000 0.000
0.000 4.851 0.000
0.000 0.000 5.569
Na Li Pb Se
1 2 1 1
Direct
0.000 0.000 0.000
0.000 0.500 0.500
0.500 0.000 0.500
0.500 0.500 0.000
0.000 0.000 0.500
```


Ac6RuRh2: relaxed, GGA-PBE.

Summary:
Total magnetization: 0.00 μB/atom
Fermi-level density of states: 0.827 states/eV per atom
Formation enthalpy at 0 K: -0.398 eV/atom
VASP energy: -5.80 eV per atom

```
Ac6RuRh2
1.0
6.780 -2.098 0.000
6.780 2.098 0.000
-0.129 0.000 10.827
Ac Ru Rh
6 1 2
Direct
0.094 0.094 0.256
0.359 0.359 0.060
0.362 0.362 0.414
0.638 0.638 0.586
0.641 0.641 0.940
0.906 0.906 0.744
0.000 0.000 0.500
0.250 0.250 0.803
0.750 0.750 0.197
```


GeSb3Pd8: relaxed, GGA-PBE.

Summary:
Total magnetization: 0.00 μB/atom
Fermi-level density of states: 0.559 states/eV per atom
VASP energy: -5.24 eV per atom
Energy relative to the elements, uncorrected: -0.360 eV per atom

```
GeSb3Pd8
1.0
4.328 -3.929 0.000
4.328 3.929 0.000
-3.979 0.000 6.687
Ge Sb Pd
1 3 8
Direct
0.000 0.000 0.000
0.287 0.789 0.526
0.527 0.527 0.071
0.789 0.287 0.526
0.161 0.161 0.807
0.164 0.648 0.785
0.380 0.995 0.281
0.648 0.164 0.785
0.664 0.664 0.814
0.733 0.733 0.489
0.891 0.891 0.248
0.995 0.380 0.281
```